## SrAsPtO (GGA-PBE)

Data for a geometry-optimized SrAsPtO structure.

Computed properties:
- Space group: No. 26
- E above lowest polymorph: 63 meV per atom

Structure (POSCAR):
```
SrAsPtO
1.0
3.3455 0.0000 0.0000
0.0000 8.3814 0.0000
0.0000 0.0000 5.5639
Sr As Pt O
2 2 2 2
direct
0.0000 0.1268 0.0000 Sr
0.0000 0.8732 0.5000 Sr
0.0000 0.4655 0.6137 As
0.0000 0.5345 0.1137 As
0.5000 0.2705 0.5102 Pt
0.5000 0.7295 0.0102 Pt
0.5000 0.0610 0.3132 O
0.5000 0.9390 0.8132 O
```

## TaAsPtO (GGA-PBE)

Data for a geometry-optimized TaAsPtO structure.

Computed properties:
- Space group: No. 129
- E above lowest polymorph: 298 meV per atom

Structure (POSCAR):
```
TaAsPtO
1.0
3.6969 0.0000 0.0000
0.0000 3.6969 0.0000
0.0000 0.0000 8.2715
Ta As Pt O
2 2 2 2
direct
0.2500 0.2500 0.1550 Ta
0.7500 0.7500 0.8450 Ta
0.2500 0.2500 0.7245 As
0.7500 0.7500 0.2755 As
0.2500 0.7500 0.5000 Pt
0.7500 0.2500 0.5000 Pt
0.2500 0.7500 0.0000 O
0.7500 0.2500 0.0000 O
```

## TaAsPtO (GGA-PBE)

Data for a geometry-optimized TaAsPtO structure.

Computed properties:
- Space group: No. 26
- E above lowest polymorph: 0 meV per atom

Structure (POSCAR):
```
TaAsPtO
1.0
2.9706 0.0000 0.0000
0.0000 6.4588 0.0000
0.0000 0.0000 7.2367
Ta As Pt O
2 2 2 2
direct
0.0000 0.0723 0.0000 Ta
0.0000 0.9277 0.5000 Ta
0.5000 0.2812 0.4026 As
0.5000 0.7188 0.9026 As
0.5000 0.3994 0.0883 Pt
0.5000 0.6006 0.5883 Pt
0.0000 0.0811 0.7323 O
0.0000 0.9189 0.2323 O
```

## TaAsPtO (GGA-PBE)

Data for a geometry-optimized TaAsPtO structure.

Computed properties:
- Space group: No. 129
- E above lowest polymorph: 828 meV per atom

Structure (POSCAR):
```
TaAsPtO
1.0
4.5993 0.0000 0.0000
0.0000 4.5993 0.0000
0.0000 0.0000 5.2384
Ta As Pt O
2 2 2 2
direct
0.2500 0.7500 0.0000 Ta
0.7500 0.2500 0.0000 Ta
0.2500 0.2500 0.2211 As
0.7500 0.7500 0.7789 As
0.2500 0.2500 0.6982 Pt
0.7500 0.7500 0.3018 Pt
0.2500 0.7500 0.5000 O
0.7500 0.2500 0.5000 O
```

## TaAsPtO (GGA-PBE)

Data for a geometry-optimized TaAsPtO structure.

Computed properties:
- Space group: No. 26
- E above lowest polymorph: 99 meV per atom

Structure (POSCAR):
```
TaAsPtO
1.0
3.6098 0.0000 0.0000
0.0000 6.5128 0.0000
0.0000 0.0000 5.3332
Ta As Pt O
2 2 2 2
direct
0.0000 0.1907 0.0000 Ta
0.0000 0.8093 0.5000 Ta
0.0000 0.2516 0.4928 As
0.0000 0.7484 0.9928 As
0.5000 0.4636 0.6646 Pt
0.5000 0.5364 0.1646 Pt
0.5000 0.0842 0.0104 O
0.5000 0.9158 0.5104 O
```

## YAsPtO (GGA-PBE)

Data for a geometry-optimized YAsPtO structure.

Computed properties:
- Space group: No. 129
- E above lowest polymorph: 0 meV per atom

Structure (POSCAR):
```
YAsPtO
1.0
4.1633 0.0000 0.0000
0.0000 4.1633 0.0000
0.0000 0.0000 7.8418
Y As Pt O
2 2 2 2
direct
0.2500 0.2500 0.1275 Y
0.7500 0.7500 0.8725 Y
0.2500 0.2500 0.6791 As
0.7500 0.7500 0.3209 As
0.2500 0.7500 0.5000 Pt
0.7500 0.2500 0.5000 Pt
0.2500 0.7500 0.0000 O
0.7500 0.2500 0.0000 O
```

## YAsPtO (GGA-PBE)

Data for a geometry-optimized YAsPtO structure.

Computed properties:
- Space group: No. 26
- E above lowest polymorph: 407 meV per atom

Structure (POSCAR):
```
YAsPtO
1.0
4.6531 0.0000 0.0000
0.0000 4.3008 0.0000
0.0000 0.0000 6.9550
Y As Pt O
2 2 2 2
direct
0.0000 0.2260 0.0000 Y
0.0000 0.7740 0.5000 Y
0.5000 0.2000 0.6869 As
0.5000 0.8000 0.1869 As
0.5000 0.3037 0.3448 Pt
0.5000 0.6963 0.8448 Pt
0.0000 0.2869 0.3380 O
0.0000 0.7131 0.8380 O
```

## YAsPtO (GGA-PBE)

Data for a geometry-optimized YAsPtO structure.

Computed properties:
- Space group: No. 26
- E above lowest polymorph: 425 meV per atom

Structure (POSCAR):
```
YAsPtO
1.0
3.5434 0.0000 0.0000
0.0000 7.8018 0.0000
0.0000 0.0000 5.5165
Y As Pt O
2 2 2 2
direct
0.0000 0.1943 0.0000 Y
0.0000 0.8057 0.5000 Y
0.0000 0.4254 0.5080 As
0.0000 0.5746 0.0080 As
0.5000 0.2178 0.4686 Pt
0.5000 0.7822 0.9686 Pt
0.5000 0.0592 0.9049 O
0.5000 0.9408 0.4049 O
```

## YAsPtO (GGA-PBE)

Data for a geometry-optimized YAsPtO structure.

Computed properties:
- Space group: No. 129
- E above lowest polymorph: 633 meV per atom

Structure (POSCAR):
```
YAsPtO
1.0
5.9705 0.0000 0.0000
0.0000 5.9705 0.0000
0.0000 0.0000 4.4947
Y As Pt O
2 2 2 2
direct
0.2500 0.7500 0.0000 Y
0.7500 0.2500 0.0000 Y
0.2500 0.2500 0.4918 As
0.7500 0.7500 0.5082 As
0.2500 0.2500 0.9918 Pt
0.7500 0.7500 0.0082 Pt
0.2500 0.7500 0.5000 O
0.7500 0.2500 0.5000 O
```

## RbSmAsO (GGA-PBE)

Data for a geometry-optimized RbSmAsO structure.

Computed properties:
- Space group: No. 129
- E above lowest polymorph: 585 meV per atom

Structure (POSCAR):
```
RbSmAsO
1.0
6.0189 0.0000 0.0000
0.0000 6.0189 0.0000
0.0000 0.0000 5.3253
Rb Sm As O
2 2 2 2
direct
0.2500 0.2500 0.0024 Rb
0.7500 0.7500 0.9976 Rb
0.2500 0.7500 0.5000 Sm
0.7500 0.2500 0.5000 Sm
0.2500 0.2500 0.5027 As
0.7500 0.7500 0.4973 As
0.2500 0.7500 0.0000 O
0.7500 0.2500 0.0000 O
```

## RbSmAsO (GGA-PBE)

Data for a geometry-optimized RbSmAsO structure.

Computed properties:
- Space group: No. 26
- E above lowest polymorph: 88 meV per atom

Structure (POSCAR):
```
RbSmAsO
1.0
5.0910 0.0000 0.0000
0.0000 7.9936 0.0000
0.0000 0.0000 6.8265
Rb Sm As O
2 2 2 2
direct
0.0000 0.2223 0.0000 Rb
0.0000 0.7777 0.5000 Rb
0.5000 0.3694 0.5805 Sm
0.5000 0.6306 0.0805 Sm
0.0000 0.2074 0.4909 As
0.0000 0.7926 0.9909 As
0.5000 0.4131 0.8950 O
0.5000 0.5869 0.3950 O
```

## RbSmAsO (GGA-PBE)

Data for a geometry-optimized RbSmAsO structure.

Computed properties:
- Space group: No. 129
- E above lowest polymorph: 134 meV per atom

Structure (POSCAR):
```
RbSmAsO
1.0
4.2110 0.0000 0.0000
0.0000 4.2110 0.0000
0.0000 0.0000 11.0523
Rb Sm As O
2 2 2 2
direct
0.2500 0.7500 0.0000 Rb
0.7500 0.2500 0.0000 Rb
0.2500 0.2500 0.4075 Sm
0.7500 0.7500 0.5925 Sm
0.2500 0.2500 0.7651 As
0.7500 0.7500 0.2349 As
0.2500 0.7500 0.5000 O
0.7500 0.2500 0.5000 O
```

| no. | density (g/cm3) | magnetization (μB/f.u.) | electronic total energy (eV/atom) |
| --- | --- | --- | --- |
| 1 | 7.95 | 0.0 | -5.579 |
| 2 | 13.72 | 0.0 | -7.617 |
| 3 | 11.17 | 0.0 | -7.915 |
| 4 | 13.99 | 0.0 | -7.087 |
| 5 | 12.37 | 0.0 | -7.816 |
| 6 | 9.16 | 0.0 | -7.303 |
| 7 | 8.95 | 0.0 | -6.896 |
| 8 | 8.16 | 0.0 | -6.878 |
| 9 | 7.77 | 0.0 | -6.670 |
| 10 | 5.62 | 0.0 | -4.739 |
| 11 | 3.91 | 1.0 | -5.235 |
| 12 | 5.54 | 0.0 | -5.189 |